# AcBr3

A relaxed structure of AcBr3 (PBE, the Alexandria database).

Results
Density ... 4.9 g cm⁻³
Crystal system ... tetragonal
Uncorrected energy ... -4.02 eV per atom
Size of the total moment ... 0.000 μB per atom
E_form (uncorrected) ... -1.7391 eV/atom

Cell: 4.858 4.858 6.740 Å, 90.00 90.00 90.00°
Atoms (fractional coordinates):
Ac: 0.000 0.000 0.000
Br: 0.000 0.500 0.741
Br: 0.500 0.000 0.741
Br: 0.500 0.500 0.194